[1]
VASP calculation (PBE) on an optimized crystal structure of LiTl2In3.

The structure in extended XYZ format:
```
12
Lattice="4.904 0.000 0.000 -2.417 8.089 0.000 -0.081 -3.865 8.109" Properties=species:S:1:pos:R:3 pbc="T T T"
Li -0.001 2.395 1.881
Li 2.408 1.830 6.227
Tl -0.030 0.764 4.399
Tl -0.027 3.825 6.193
Tl 2.433 0.399 1.916
Tl 2.436 3.460 3.710
In -0.053 -2.456 7.102
In -0.060 1.027 7.765
In -0.022 5.307 2.820
In 2.428 -1.082 5.289
In 2.467 3.198 0.343
In 2.460 6.680 1.007
```

Results
D(E_F)   0.43 states/eV/atom
ΔH_f (0 K)   -0.0325 eV/atom
Total moment   0.0 μB per formula unit



[2]
VASP calculation (PBE) on an optimized crystal structure of LiTlIn2.

The structure in extended XYZ format:
```
8
Lattice="4.624 0.000 0.000 0.000 4.730 0.000 0.000 0.000 8.890" Properties=species:S:1:pos:R:3 pbc="T T T"
Li 0.000 0.000 0.000
Li 2.312 2.365 0.000
Tl 0.000 2.365 6.900
Tl 2.312 0.000 6.900
In 0.000 0.000 4.310
In 0.000 2.365 1.872
In 2.312 0.000 1.872
In 2.312 2.365 4.310
```

Results
D(E_F)   0.36 states/eV/atom
ΔH_f (0 K)   -0.0877 eV/atom
Total moment   0.0 μB per formula unit



[3]
VASP calculation (PBE) on an optimized crystal structure of Li12Tl6In.

The structure in extended XYZ format:
```
19
Lattice="6.261 3.615 2.895 -6.261 3.615 2.895 0.000 -7.230 2.895" Properties=species:S:1:pos:R:3 pbc="T T T"
Li -0.862 -4.565 3.593
Li -4.385 -1.536 5.092
Li -1.827 -1.917 3.617
Li -3.522 3.030 3.593
Li -2.574 0.624 5.068
Li -0.747 2.541 3.617
Li 0.747 -2.541 5.068
Li 2.574 -0.624 3.617
Li 3.522 -3.029 5.092
Li 1.827 1.917 5.068
Li 4.385 1.536 3.593
Li 0.862 4.565 5.092
Tl -2.391 0.517 2.211
Tl 0.748 -2.329 2.211
Tl 1.643 1.812 2.211
Tl -1.643 -1.812 6.474
Tl -0.748 2.329 6.474
Tl 2.391 -0.517 6.474
In 0.000 0.000 0.000
```

Results
D(E_F)   0.48 states/eV/atom
ΔH_f (0 K)   -0.1623 eV/atom
Total moment   0.0 μB per formula unit



[4]
VASP calculation (PBE) on an optimized crystal structure of Li3Tl4In2.

The structure in extended XYZ format:
```
18
Lattice="5.066 -5.650 0.000 5.066 5.650 0.000 -1.669 0.000 7.812" Properties=species:S:1:pos:R:3 pbc="T T T"
Li 3.814 4.279 5.859
Li 2.893 1.459 1.964
Li 2.059 -1.459 5.870
Li 6.404 1.459 1.942
Li 5.570 -1.459 5.848
Li 4.649 -4.279 1.953
Tl 1.206 1.375 4.445
Tl 2.891 1.431 7.239
Tl 2.041 -1.375 0.539
Tl 4.738 1.431 4.479
Tl 3.725 -1.431 3.333
Tl 6.422 1.375 7.273
Tl 5.572 -1.431 0.573
Tl 7.257 -1.375 3.367
In 3.825 4.234 0.623
In 5.473 4.234 3.283
In 2.990 -4.234 4.529
In 4.638 -4.234 7.189
```

Results
D(E_F)   0.42 states/eV/atom
ΔH_f (0 K)   -0.0834 eV/atom
Total moment   0.0 μB per formula unit